DyMgPd2 | PBE | optimized geometry

```
DyMgPd2
1.0
3.372 0.000 0.000
0.000 3.372 0.000
0.000 0.000 6.656
Mg Pd Dy
1 2 1
Cartesian
1.686 1.686 0.000
0.000 0.000 5.140
0.000 0.000 1.516
1.686 1.686 3.328
```

Calculated values
space-group type	P4/mmm
DOS(E_F)	1.141	states/eV/f.u.
ΔE_f	-3.20	eV/f.u.